An optimized crystal structure of SrOs3Rh. Source: the Alexandria database, functional PBE-GGA.

Properties
The value obtained for the energy above the most stable polymorph in this dataset is 2055 meV per atom. As for the space group: No. 221. Its energy is -23.71 eV/f.u. The spin magnetization comes out at 0.0 μB/cell. The calculated formation energy is 1834 kJ/mol of formula units.

Lattice parameters (Å, degrees): 4.722 4.722 4.722 90.00 90.00 90.00
Positions (direct):
Sr  0.000  0.000  0.000
Os  0.000  0.000  0.500
Os  0.000  0.500  0.000
Os  0.500  0.000  0.000
Rh  0.500  0.500  0.500